This record from Alexandria describes crystalline Li2MgFeP at its relaxed geometry. The functional is PBE.

Values from the calculation:
N(E_F) ... 1.5 states/eV/f.u.
E_form ... 0.128 eV per atom
Mass density ... 2.47 g/cm3
Total moment ... 0.00 μB/atom
Final energy ... -3.73 eV/atom
Space-group type ... No. 123

Unit cell a=4.4930 b=4.1580 c=4.4930 alpha=90.00 beta=90.00 gamma=90.00
Positions (direct):
1 P 0.0000 0.5000 0.0000
2 Mg 0.5000 0.5000 0.5000
3 Fe 0.0000 0.0000 0.0000
4 Li 0.0000 0.0000 0.5000
5 Li 0.5000 0.0000 0.0000

This record from Alexandria describes crystalline LiMg2FeRe at its relaxed geometry. The functional is PBE.

Values from the calculation:
N(E_F) ... 3.1 states/eV/f.u.
E_form ... 0.709 eV per atom
Mass density ... 4.80 g/cm3
Total moment ... 0.38 μB/atom
Final energy ... -4.49 eV/atom
Space-group type ... No. 123

Unit cell a=4.8551 b=4.8551 c=4.3664 alpha=90.00 beta=90.00 gamma=90.00
Last column: magnetic moment on the atom in μB.
Positions (direct):
1 Re 0.0000 0.0000 0.5000  1.12
2 Mg 0.0000 0.5000 0.0000  -0.01
3 Mg 0.5000 0.0000 0.0000  -0.01
4 Fe 0.0000 0.0000 0.0000  0.67
5 Li 0.5000 0.5000 0.5000  -0.01

This record from Alexandria describes crystalline LiMgFe2Se at its relaxed geometry. The functional is PBE.

Values from the calculation:
N(E_F) ... 8.4 states/eV/f.u.
Mass density ... 3.23 g/cm3
Total moment ... 1.24 μB/atom
Final energy ... -3.81 eV/atom
Formation energy (no corrections) ... 0.97 eV per atom
Space-group type ... No. 123

Unit cell a=4.7623 b=5.0352 c=4.7623 alpha=90.00 beta=90.00 gamma=90.00
Last column: magnetic moment on the atom in μB.
Positions (direct):
1 Mg 0.0000 0.0000 0.0000  -0.04
2 Fe 0.0000 0.0000 0.5000  3.01
3 Fe 0.5000 0.0000 0.0000  2.99
4 Se 0.0000 0.5000 0.0000  0.12
5 Li 0.5000 0.5000 0.5000  -0.02

This record from Alexandria describes crystalline Li2MgFeW at its relaxed geometry. The functional is PBE.

Values from the calculation:
N(E_F) ... 3.3 states/eV/f.u.
E_form ... 1.405 eV per atom
Mass density ... 6.34 g/cm3
Total moment ... 0.22 μB/atom
Final energy ... -3.96 eV/atom
Space-group type ... No. 123

Unit cell a=3.9856 b=4.5829 c=3.9856 alpha=90.00 beta=90.00 gamma=90.00
Last column: magnetic moment on the atom in μB.
Positions (direct):
1 Mg 0.0000 0.0000 0.0000  -0.01
2 Fe 0.0000 0.5000 0.0000  1.69
3 W 0.5000 0.5000 0.5000  -0.47
4 Li 0.0000 0.0000 0.5000  0.00
5 Li 0.5000 0.0000 0.0000  -0.01

This record from Alexandria describes crystalline Li2MnFe at its relaxed geometry. The functional is PBE.

Values from the calculation:
N(E_F) ... 3.2 states/eV/f.u.
E_form ... 0.265 eV per atom
Mass density ... 3.54 g/cm3
Total moment ... 1.50 μB/atom
Final energy ... -5.10 eV/atom
Energy above the most stable polymorph in this dataset ... 0.0072 eV per atom
Space-group type ... No. 99

Unit cell a=2.5897 b=2.5897 c=8.7261 alpha=90.00 beta=90.00 gamma=90.00
Last column: magnetic moment on the atom in μB.
Positions (direct):
1 Fe 0.5000 0.5000 0.7348  2.64
2 Li 0.0000 0.0000 0.9758  -0.03
3 Li 0.5000 0.5000 0.2662  -0.01
4 Mn 0.0000 0.0000 0.5233  3.24

This record from Alexandria describes crystalline Li2MnFe at its relaxed geometry. The functional is PBE.

Values from the calculation:
N(E_F) ... 3.1 states/eV/f.u.
E_form ... 0.281 eV per atom
Mass density ... 3.84 g/cm3
Total moment ... 0.31 μB/atom
Final energy ... -5.08 eV/atom
Energy above the most stable polymorph in this dataset ... 0.0235 eV per atom
Space-group type ... No. 6

Unit cell a=3.5044 b=2.5891 c=6.4885 alpha=66.24 beta=90.00 gamma=90.00
Last column: magnetic moment on the atom in μB.
Positions (direct):
1 Fe 0.5000 0.7942 0.7045  1.35
2 Li 0.0000 0.0115 0.9862  0.01
3 Li 0.5000 0.2438 0.2585  0.00
4 Mn 0.0000 0.4505 0.5508  -2.54

This record from Alexandria describes crystalline Li2MnFe at its relaxed geometry. The functional is PBE.

Values from the calculation:
N(E_F) ... 3.2 states/eV/f.u.
E_form ... 0.298 eV per atom
Mass density ... 4.13 g/cm3
Total moment ... 1.08 μB/atom
Final energy ... -5.07 eV/atom
Energy above the most stable polymorph in this dataset ... 0.0410 eV per atom
Space-group type ... No. 12

Unit cell a=4.8623 b=4.8623 c=4.2771 alpha=78.06 beta=78.06 gamma=30.46
Last column: magnetic moment on the atom in μB.
Positions (direct):
1 Fe 0.7500 0.7500 0.7500  1.85
2 Li 0.0045 0.0045 0.9929  -0.07
3 Li 0.4955 0.4955 0.5071  -0.07
4 Mn 0.2500 0.2500 0.2500  2.62

This record from Alexandria describes crystalline Li2MnFe at its relaxed geometry. The functional is PBE.

Values from the calculation:
N(E_F) ... 5.3 states/eV/f.u.
E_form ... 0.422 eV per atom
Mass density ... 3.86 g/cm3
Total moment ... 1.32 μB/atom
Final energy ... -4.94 eV/atom
Energy above the most stable polymorph in this dataset ... 0.1641 eV per atom
Space-group type ... No. 139

Unit cell a=5.0488 b=5.0488 c=5.0488 alpha=139.54 beta=139.54 gamma=58.55
Last column: magnetic moment on the atom in μB.
Positions (direct):
1 Fe 0.7500 0.2500 0.5000  2.28
2 Li 0.0000 0.0000 0.0000  -0.07
3 Li 0.5000 0.5000 0.0000  -0.07
4 Mn 0.2500 0.7500 0.5000  3.12

This record from Alexandria describes crystalline LiMn3Fe at its relaxed geometry. The functional is PBE.

Values from the calculation:
N(E_F) ... 7.8 states/eV/f.u.
E_form ... 0.911 eV per atom
Mass density ... 4.28 g/cm3
Total moment ... 2.07 μB/atom
Final energy ... -6.67 eV/atom
Energy above the most stable polymorph in this dataset ... 0.0000 eV per atom
Space-group type ... No. 221

Unit cell a=4.4521 b=4.4521 c=4.4521 alpha=90.00 beta=90.00 gamma=90.00
Last column: magnetic moment on the atom in μB.
Positions (direct):
1 Mn 0.0000 0.5000 0.0000  3.40
2 Mn 0.0000 0.0000 0.5000  3.27
3 Mn 0.5000 0.0000 0.0000  3.42
4 Fe 0.0000 0.0000 0.0000  -0.16
5 Li 0.5000 0.5000 0.5000  -0.02

This record from Alexandria describes crystalline Li2MnFe at its relaxed geometry. The functional is PBE.

Values from the calculation:
N(E_F) ... 2.7 states/eV/f.u.
E_form ... 0.414 eV per atom
Mass density ... 4.42 g/cm3
Total moment ... 0.49 μB/atom
Final energy ... -4.95 eV/atom
Energy above the most stable polymorph in this dataset ... 0.1566 eV per atom
Space-group type ... No. 47

Unit cell a=2.3163 b=4.3945 c=4.5966 alpha=90.00 beta=90.00 gamma=90.00
Last column: magnetic moment on the atom in μB.
Positions (direct):
1 Fe 0.5000 0.5000 0.7500  1.74
2 Li 0.0000 0.0000 0.0003  -0.05
3 Li 0.0000 0.0000 0.4997  -0.05
4 Mn 0.5000 0.5000 0.2500  0.38

This record from Alexandria describes crystalline Li2MnFe at its relaxed geometry. The functional is PBE.

Values from the calculation:
N(E_F) ... 3.5 states/eV/f.u.
E_form ... 0.369 eV per atom
Mass density ... 4.23 g/cm3
Total moment ... 0.21 μB/atom
Final energy ... -5.00 eV/atom
Energy above the most stable polymorph in this dataset ... 0.1120 eV per atom
Space-group type ... No. 216

Unit cell a=4.1061 b=4.1061 c=4.1061 alpha=60.00 beta=60.00 gamma=60.00
Last column: magnetic moment on the atom in μB.
Positions (direct):
1 Fe 0.5000 0.5000 0.5000  2.10
2 Li 0.0000 0.0000 0.0000  -0.03
3 Li 0.2500 0.2500 0.2500  0.02
4 Mn 0.7500 0.7500 0.7500  -2.78

This record from Alexandria describes crystalline Li2MnFe at its relaxed geometry. The functional is PBE.

Values from the calculation:
N(E_F) ... 3.1 states/eV/f.u.
E_form ... 0.305 eV per atom
Mass density ... 4.17 g/cm3
Total moment ... 1.02 μB/atom
Final energy ... -5.06 eV/atom
Energy above the most stable polymorph in this dataset ... 0.0472 eV per atom
Space-group type ... No. 71

Unit cell a=5.1843 b=5.1843 c=5.1843 alpha=150.58 beta=133.05 gamma=56.38
Last column: magnetic moment on the atom in μB.
Positions (direct):
1 Fe 0.2500 0.7500 0.5000  1.67
2 Li 0.0063 0.0063 0.0000  -0.07
3 Li 0.4937 0.4937 0.0000  -0.07
4 Mn 0.7500 0.2500 0.5000  2.57

This record from Alexandria describes crystalline LiMnFe at its relaxed geometry. The functional is PBE.

Values from the calculation:
N(E_F) ... 2.1 states/eV/f.u.
E_form ... 0.810 eV per atom
Mass density ... 4.81 g/cm3
Total moment ... 0.53 μB/atom
Final energy ... -5.71 eV/atom
Energy above the most stable polymorph in this dataset ... 0.5574 eV per atom
Space-group type ... No. 216

Unit cell a=3.8585 b=3.8585 c=3.8585 alpha=60.00 beta=60.00 gamma=60.00
Last column: magnetic moment on the atom in μB.
Positions (direct):
1 Fe 0.0000 0.0000 0.0000  -1.26
2 Li 0.5000 0.5000 0.5000  0.05
3 Mn 0.7500 0.7500 0.7500  2.64

This record from Alexandria describes crystalline LiMnFe at its relaxed geometry. The functional is PBE.

Values from the calculation:
N(E_F) ... 2.2 states/eV/f.u.
E_form ... 0.334 eV per atom
Mass density ... 4.74 g/cm3
Total moment ... 2.00 μB/atom
Final energy ... -6.18 eV/atom
Energy above the most stable polymorph in this dataset ... 0.0815 eV per atom
Space-group type ... No. 107

Unit cell a=6.5446 b=6.5446 c=6.5446 alpha=157.43 beta=157.43 gamma=32.13
Last column: magnetic moment on the atom in μB.
Positions (direct):
1 Fe 0.0079 0.0079 0.0000  2.65
2 Li 0.3363 0.3363 0.0000  -0.04
3 Mn 0.6558 0.6558 0.0000  3.25

This record from Alexandria describes crystalline Li2MnFe at its relaxed geometry. The functional is PBE.

Values from the calculation:
N(E_F) ... 2.5 states/eV/f.u.
E_form ... 0.410 eV per atom
Mass density ... 4.42 g/cm3
Total moment ... 0.50 μB/atom
Final energy ... -4.95 eV/atom
Energy above the most stable polymorph in this dataset ... 0.1529 eV per atom
Space-group type ... No. 65

Unit cell a=4.9593 b=4.9593 c=2.3148 alpha=90.00 beta=90.00 gamma=124.71
Last column: magnetic moment on the atom in μB.
Positions (direct):
1 Fe 0.0000 0.5000 0.5000  1.70
2 Li 0.0000 0.0000 0.0000  -0.04
3 Li 0.5000 0.5000 0.0000  -0.04
4 Mn 0.5000 0.0000 0.5000  0.45